A plane-wave DFT calculation with PBE+U was carried out for a geometry-optimized K2CoF5 structure.

Cell: 6.2786 6.2786 7.3769 Å, 90.00 90.00 90.00°
Last column: nearest neighbours and their distance in Å.
Space group I4mm (No. 107)
One atom of each set of equivalent atoms:
K: 0.0000 0.5000 0.0000 (multiplicity 4)  8 F 2.79-3.04
Co: 0.0000 0.0000 0.2165 (multiplicity 2)  5 F 1.77-1.91
F: 0.0000 0.0000 0.9761 (multiplicity 2)  1 Co 1.77
F: 0.2086 0.2086 0.2771 (multiplicity 8)  1 Co 1.91

Computed properties:
Total magnetization ... 7.97 μB/cell
E_tot ... -4.47 eV/atom